# 1
Below is a geometry-optimized Rb2ScAuI6 structure, with properties calculated at the GGA-PBE level.

Calculated values
**Energy relative to the elements, uncorrected**: -1.013 eV/atom
**Energy relative to the lowest polymorph listed for this composition**: 66 meV/atom
**DOS(E_F)**: 0.0 states/eV/cell
**ρ**: 4.67 g cm⁻³

Cell lengths 8.446, 8.446, 8.446 Å; angles 121.23, 121.23, 87.89 degrees
Fractional coordinates of all 10 atoms:
1 Rb 0.250 0.750 0.500
2 Rb 0.750 0.250 0.500
3 Sc 0.000 0.000 0.000
4 Au 0.500 0.500 0.000
5 I 0.238 0.238 0.000
6 I 0.249 0.249 0.498
7 I 0.249 0.751 0.000
8 I 0.751 0.249 0.000
9 I 0.751 0.751 0.502
10 I 0.762 0.762 0.000

# 2
Below is a geometry-optimized Rb2ScAuI6 structure, with properties calculated at the GGA-PBE level.

Calculated values
**Energy relative to the elements, uncorrected**: -1.079 eV/atom
**Energy relative to the lowest polymorph listed for this composition**: 0 meV/atom
**DOS(E_F)**: 0.0 states/eV/cell
**ρ**: 4.38 g cm⁻³

Cell lengths 8.437, 8.442, 8.694 Å; angles 60.99, 61.04, 60.13 degrees
Fractional coordinates of all 10 atoms:
1 Rb 0.000 0.000 0.000
2 Rb 0.485 0.487 0.540
3 Sc 0.730 0.730 0.808
4 Au 0.311 0.310 0.066
5 I 0.020 0.895 0.608
6 I 0.417 0.552 0.092
7 I 0.476 0.020 0.608
8 I 0.552 0.937 0.092
9 I 0.894 0.476 0.608
10 I 0.936 0.418 0.093

# 3
Below is a geometry-optimized Rb2AuSeI structure, with properties calculated at the GGA-PBE level.

Calculated values
**Energy relative to the elements, uncorrected**: -0.867 eV/atom
**DOS(E_F)**: 2.0 states/eV/cell
**ρ**: 4.33 g cm⁻³

Cell lengths 6.731, 6.731, 4.854 Å; angles 90.00, 90.00, 90.00 degrees
Fractional coordinates of all 5 atoms:
1 Rb 0.000 0.500 0.000
2 Rb 0.500 0.000 0.000
3 Au 0.000 0.000 0.500
4 Se 0.000 0.000 0.000
5 I 0.500 0.500 0.500

# 4
Below is a geometry-optimized RbSmAu2I6 structure, with properties calculated at the GGA-PBE level.

Calculated values
**Energy relative to the elements, uncorrected**: -0.824 eV/atom
**DOS(E_F)**: 0.0 states/eV/cell
**ρ**: 4.80 g cm⁻³

Cell lengths 7.946, 7.956, 9.872 Å; angles 89.95, 66.37, 60.29 degrees
Fractional coordinates of all 10 atoms:
1 Rb 0.000 0.000 0.000
2 Sm 0.001 0.500 0.500
3 Au 0.468 0.769 0.301
4 Au 0.532 0.231 0.699
5 I 0.142 0.745 0.290
6 I 0.175 0.567 0.712
7 I 0.452 0.118 0.287
8 I 0.549 0.881 0.714
9 I 0.826 0.433 0.288
10 I 0.857 0.256 0.711

# 5
Below is a geometry-optimized Rb2SmAuI6 structure, with properties calculated at the GGA-PBE level.

Calculated values
**Energy relative to the elements, uncorrected**: -1.177 eV/atom
**DOS(E_F)**: 0.0 states/eV/cell
**ρ**: 4.32 g cm⁻³

Cell lengths 7.822, 13.072, 10.723 Å; angles 90.00, 116.12, 90.00 degrees
Fractional coordinates of all 20 atoms:
1 Rb 0.032 0.208 0.388
2 Rb 0.032 0.292 0.888
3 Rb 0.968 0.708 0.112
4 Rb 0.968 0.792 0.612
5 Sm 0.500 0.000 0.000
6 Sm 0.500 0.500 0.500
7 Au 0.000 0.000 0.000
8 Au 0.000 0.500 0.500
9 I 0.158 0.060 0.725
10 I 0.158 0.440 0.225
11 I 0.306 0.089 0.184
12 I 0.306 0.411 0.684
13 I 0.336 0.716 0.484
14 I 0.336 0.784 0.984
15 I 0.664 0.216 0.016
16 I 0.664 0.284 0.516
17 I 0.694 0.589 0.316
18 I 0.694 0.911 0.816
19 I 0.842 0.560 0.775
20 I 0.842 0.940 0.275

# 6
Below is a geometry-optimized RbSnAuI2 structure, with properties calculated at the GGA-PBE level.

Calculated values
**Energy relative to the elements, uncorrected**: -0.636 eV/atom
**DOS(E_F)**: 0.4 states/eV/cell
**ρ**: 5.14 g cm⁻³

Cell lengths 6.346, 6.346, 5.255 Å; angles 90.00, 90.00, 90.00 degrees
Fractional coordinates of all 5 atoms:
1 Rb 0.000 0.000 0.000
2 Sn 0.500 0.500 0.500
3 Au 0.500 0.500 0.000
4 I 0.000 0.500 0.500
5 I 0.500 0.000 0.500

# 7
Below is a geometry-optimized Rb2SnAuI5 structure, with properties calculated at the GGA-PBE level.

Calculated values
**Energy relative to the elements, uncorrected**: -0.840 eV/atom
**DOS(E_F)**: 0.0 states/eV/cell
**ρ**: 4.78 g cm⁻³

Cell lengths 11.016, 11.016, 15.348 Å; angles 90.00, 90.00, 155.29 degrees
Fractional coordinates of all 18 atoms:
1 Rb 0.120 0.880 0.500
2 Rb 0.125 0.875 0.871
3 Rb 0.875 0.125 0.371
4 Rb 0.880 0.120 0.000
5 Sn 0.202 0.798 0.183
6 Sn 0.798 0.202 0.683
7 Au 0.470 0.530 0.596
8 Au 0.530 0.470 0.096
9 I 0.042 0.958 0.188
10 I 0.295 0.705 0.537
11 I 0.300 0.700 0.826
12 I 0.345 0.655 0.184
13 I 0.499 0.501 0.924
14 I 0.501 0.499 0.424
15 I 0.655 0.345 0.684
16 I 0.700 0.300 0.326
17 I 0.705 0.295 0.037
18 I 0.958 0.042 0.688

# 8
Below is a geometry-optimized Rb2SnAuI6 structure, with properties calculated at the GGA-PBE level.

Calculated values
**Energy relative to the elements, uncorrected**: -0.742 eV/atom
**Energy relative to the lowest polymorph listed for this composition**: 6 meV/atom
**DOS(E_F)**: 1.7 states/eV/cell
**ρ**: 4.84 g cm⁻³

Cell lengths 8.468, 8.468, 8.468 Å; angles 120.23, 120.23, 89.61 degrees
Fractional coordinates of all 10 atoms:
1 Rb 0.250 0.750 0.500
2 Rb 0.750 0.250 0.500
3 Sn 0.000 0.000 0.000
4 Au 0.500 0.500 0.000
5 I 0.253 0.253 0.000
6 I 0.254 0.254 0.508
7 I 0.254 0.746 0.000
8 I 0.746 0.254 0.000
9 I 0.746 0.746 0.492
10 I 0.747 0.747 0.000